Here is a relaxed TmZnPdO4 crystal from Alexandria. Energies are from GGA-PBE.

Unit cell a=6.402 b=6.285 c=6.568 alpha=121.50 beta=90.00 gamma=120.62
Each line ends with the local moment (μB).
Sites, in units of the cell vectors:
Zn 0.113 0.226 0.863  0.01
O 0.240 0.481 0.722  0.06
Tm 0.500 0.000 0.000  0.00
O 0.726 0.985 0.743  0.00
Pd 0.500 0.500 0.500  0.20
Tm 0.500 0.000 0.500  0.00
O 0.259 0.985 0.743  0.00
O 0.274 0.015 0.257  0.00
Pd 0.000 0.500 0.500  0.20
Zn 0.887 0.774 0.137  0.01
O 0.741 0.015 0.257  0.00
O 0.240 0.481 0.259  0.06
O 0.760 0.519 0.278  0.06
O 0.760 0.519 0.741  0.06

Computed properties:
For the calculated volume, the calculation gives 12.9 A^3/atom. Its total energy is -6.138 eV per atom. The symmetry is No. 74.

Here is a relaxed TmScBeTc crystal from Alexandria. Energies are from GGA-PBE.

Unit cell a=4.663 b=4.663 c=4.663 alpha=60.00 beta=60.00 gamma=60.00
Sites, in units of the cell vectors:
Be 0.750 0.750 0.750
Tm 0.500 0.500 0.500
Tc 0.250 0.250 0.250
Sc 0.000 0.000 0.000

Computed properties:
For the calculated volume, the calculation gives 17.9 A^3/atom. Its total energy is -6.264 eV per atom. The symmetry is No. 216.

Here is a relaxed NpV2N crystal from Alexandria. Energies are from GGA-PBE.

Unit cell a=2.574 b=2.574 c=7.445 alpha=90.00 beta=90.00 gamma=90.00
Each line ends with the local moment (μB).
Sites, in units of the cell vectors:
N 0.500 0.500 0.500  0.00
V 0.000 0.000 0.661  -0.01
Np 0.500 0.500 0.000  0.80
V 0.000 0.000 0.339  -0.01

Computed properties:
For the calculated volume, the calculation gives 12.3 A^3/atom. Its total energy is -9.926 eV per atom. The symmetry is No. 123.

Here is a relaxed ThZrS2N crystal from Alexandria. Energies are from GGA-PBE.

Unit cell a=3.868 b=3.868 c=13.365 alpha=90.00 beta=90.00 gamma=90.00
Sites, in units of the cell vectors:
Th 0.500 0.000 0.594
N 0.500 0.500 0.500
S 0.500 0.000 0.899
Zr 0.000 0.500 0.899
S 0.000 0.500 0.716
Zr 0.500 0.000 0.101
Th 0.000 0.500 0.406
N 0.000 0.000 0.500
S 0.500 0.000 0.284
S 0.000 0.500 0.101

Computed properties:
For the calculated volume, the calculation gives 20.0 A^3/atom. Its total energy is -8.165 eV per atom. The symmetry is No. 129.

Here is a relaxed CaZn2Cl crystal from Alexandria. Energies are from GGA-PBE.

Unit cell a=3.485 b=3.485 c=8.388 alpha=90.00 beta=90.00 gamma=90.00
Sites, in units of the cell vectors:
Cl 0.500 0.500 0.664
Zn 0.500 0.500 0.226
Ca 0.000 0.000 0.496
Zn 0.000 0.000 0.115

Computed properties:
For the calculated volume, the calculation gives 25.5 A^3/atom. The value obtained for the distance to the lowest polymorph of the same formula is 0.009 eV/atom. The symmetry is No. 99.

Here is a relaxed LaPrYHo3 crystal from Alexandria. Energies are from GGA-PBE.

Unit cell a=5.913 b=6.441 c=11.829 alpha=90.00 beta=90.00 gamma=117.32
Sites, in units of the cell vectors:
Y 0.174 0.347 0.250
Ho 0.172 0.345 0.750
La 0.503 0.006 0.750
Ho 0.325 0.650 0.998
Pr 0.000 0.000 0.500
Y 0.826 0.653 0.750
Ho 0.325 0.650 0.502
Ho 0.675 0.350 0.498
Ho 0.675 0.350 0.002
La 0.497 0.994 0.250
Pr 0.000 0.000 0.000
Ho 0.828 0.655 0.250

Computed properties:
For the calculated volume, the calculation gives 33.4 A^3/atom. Its total energy is -4.877 eV per atom. The symmetry is No. 63.

Here is a relaxed LiMg2Re crystal from Alexandria. Energies are from GGA-PBE.

Unit cell a=2.765 b=2.765 c=9.424 alpha=90.00 beta=90.00 gamma=107.14
Sites, in units of the cell vectors:
Mg 0.000 0.000 0.010
Mg 0.000 0.000 0.490
Re 0.500 0.500 0.250
Li 0.500 0.500 0.750

Computed properties:
For the calculated volume, the calculation gives 17.2 A^3/atom. The value obtained for the distance to the lowest polymorph of the same formula is 0.000 eV/atom. The symmetry is No. 65.

Here is a relaxed TmAlZnS4 crystal from Alexandria. Energies are from GGA-PBE.

Unit cell a=7.417 b=7.452 c=7.452 alpha=60.19 beta=60.15 gamma=60.15
Sites, in units of the cell vectors:
S 0.746 0.780 0.728
S 0.746 0.228 0.280
S 0.254 0.220 0.272
S 0.766 0.233 0.733
Al 0.500 0.000 0.500
Zn 0.622 0.628 0.128
S 0.268 0.233 0.733
S 0.254 0.772 0.720
Zn 0.378 0.372 0.872
S 0.732 0.767 0.267
Tm 0.000 0.500 0.500
S 0.234 0.767 0.267
Tm 0.000 0.000 0.000
Al 0.000 0.000 0.500

Computed properties:
For the calculated volume, the calculation gives 20.9 A^3/atom. Its total energy is -4.996 eV per atom. The symmetry is No. 74.

Here is a relaxed Gd2HfPd crystal from Alexandria. Energies are from GGA-PBE.

Unit cell a=3.511 b=3.511 c=7.943 alpha=90.00 beta=90.00 gamma=90.00
Each line ends with the local moment (μB).
Sites, in units of the cell vectors:
Pd 0.500 0.500 0.000  0.00
Hf 0.500 0.500 0.500  -0.04
Gd 0.000 0.000 0.779  -7.06
Gd 0.000 0.000 0.221  -7.06

Computed properties:
For the calculated volume, the calculation gives 24.5 A^3/atom. Its total energy is -11.118 eV per atom. The symmetry is No. 123.

Here is a relaxed SiAg2Au2 crystal from Alexandria. Energies are from GGA-PBE.

Unit cell a=6.699 b=6.699 c=4.116 alpha=90.00 beta=90.00 gamma=90.00
Sites, in units of the cell vectors:
Au 0.846 0.346 0.500
Au 0.654 0.846 0.500
Ag 0.349 0.849 0.000
Au 0.154 0.654 0.500
Ag 0.151 0.349 0.000
Si 0.500 0.500 0.000
Ag 0.849 0.651 0.000
Si 0.000 0.000 0.000
Au 0.346 0.154 0.500
Ag 0.651 0.151 0.000

Computed properties:
For the calculated volume, the calculation gives 18.5 A^3/atom. The value obtained for the distance to the lowest polymorph of the same formula is 0.147 eV/atom. The symmetry is No. 127.

Here is a relaxed Na3Li2Au7 crystal from Alexandria. Energies are from GGA-PBE.

Unit cell a=5.572 b=5.572 c=9.610 alpha=73.15 beta=73.15 gamma=60.00
Sites, in units of the cell vectors:
Au 0.420 0.420 0.237
Au 0.580 0.580 0.763
Au 0.500 0.500 0.500
Na 0.140 0.140 0.580
Au 0.580 0.078 0.763
Au 0.922 0.420 0.237
Au 0.078 0.580 0.763
Na 0.000 0.000 0.000
Li 0.333 0.333 0.002
Li 0.667 0.667 0.998
Au 0.420 0.922 0.237
Na 0.860 0.860 0.420

Computed properties:
For the calculated volume, the calculation gives 20.3 A^3/atom. Its total energy is -2.968 eV per atom. The symmetry is No. 166.

Here is a relaxed LiBrCl crystal from Alexandria. Energies are from GGA-PBE.

Unit cell a=3.777 b=3.777 c=5.853 alpha=90.00 beta=90.00 gamma=120.00
Each line ends with the local moment (μB).
Sites, in units of the cell vectors:
Cl 0.667 0.333 0.451  0.19
Br 0.000 0.000 0.947  0.58
Li 0.333 0.667 0.602  0.00

Computed properties:
For the calculated volume, the calculation gives 24.1 A^3/atom. The value obtained for the distance to the lowest polymorph of the same formula is 0.182 eV/atom. The symmetry is No. 156.

Here is a relaxed Nd2Te2Cl crystal from Alexandria. Energies are from GGA-PBE.

Unit cell a=6.288 b=7.660 c=8.712 alpha=111.93 beta=90.00 gamma=114.23
Sites, in units of the cell vectors:
Cl 0.356 0.712 0.894
Te 0.982 0.964 0.221
Te 0.684 0.368 0.613
Nd 0.834 0.668 0.416
Nd 0.492 0.983 0.250
Te 0.018 0.036 0.779
Nd 0.166 0.332 0.584
Cl 0.644 0.288 0.106
Te 0.316 0.632 0.387
Nd 0.508 0.017 0.750

Computed properties:
For the calculated volume, the calculation gives 34.9 A^3/atom. The value obtained for the distance to the lowest polymorph of the same formula is 0.005 eV/atom. The symmetry is No. 12.

Here is a relaxed TlFe2W crystal from Alexandria. Energies are from GGA-PBE.

Unit cell a=3.107 b=3.105 c=7.027 alpha=63.88 beta=90.00 gamma=90.00
Each line ends with the local moment (μB).
Sites, in units of the cell vectors:
Tl 0.500 0.250 0.250  -0.01
Fe 0.000 0.043 0.958  1.36
W 0.500 0.750 0.750  -0.32
Fe 0.000 0.457 0.542  1.36

Computed properties:
For the calculated volume, the calculation gives 15.2 A^3/atom. The value obtained for the distance to the lowest polymorph of the same formula is 0.000 eV/atom. The symmetry is No. 10.

Here is a relaxed Tb4Te3H crystal from Alexandria. Energies are from GGA-PBE.

Unit cell a=6.111 b=8.207 c=9.525 alpha=90.00 beta=90.00 gamma=90.00
Sites, in units of the cell vectors:
Tb 0.574 0.122 0.000
Te 0.084 0.641 0.260
Te 0.084 0.242 0.500
H 0.439 0.868 0.500
Tb 0.084 0.262 0.808
Te 0.584 0.359 0.240
H 0.939 0.132 0.000
Tb 0.584 0.738 0.692
Te 0.584 0.359 0.760
Tb 0.074 0.878 0.500
Tb 0.584 0.738 0.308
Tb 0.082 0.871 0.000
Tb 0.084 0.262 0.192
Te 0.584 0.758 0.000
Tb 0.582 0.129 0.500
Te 0.084 0.641 0.740

Computed properties:
For the calculated volume, the calculation gives 29.9 A^3/atom. Its total energy is -4.817 eV per atom. The symmetry is No. 31.

Here is a relaxed Nd2SmY6Ho crystal from Alexandria. Energies are from GGA-PBE.

Unit cell a=9.811 b=8.808 c=8.808 alpha=117.71 beta=94.97 gamma=94.97
Sites, in units of the cell vectors:
Y 0.118 0.704 0.494
Ho 0.250 0.407 0.593
Y 0.618 0.494 0.704
Nd 0.044 0.293 0.194
Y 0.186 0.574 0.019
Y 0.382 0.506 0.296
Sm 0.250 0.982 0.018
Y 0.057 0.122 0.743
Ho 0.750 0.593 0.407
Y 0.557 0.743 0.122
Nd 0.544 0.194 0.293
Y 0.814 0.426 0.981
Nd 0.956 0.707 0.806
Y 0.443 0.257 0.878
Y 0.882 0.296 0.506
Y 0.943 0.878 0.257
Y 0.314 0.981 0.426
Nd 0.456 0.806 0.707
Sm 0.750 0.018 0.982
Y 0.686 0.019 0.574

Computed properties:
For the calculated volume, the calculation gives 33.2 A^3/atom. Its total energy is -5.650 eV per atom. The symmetry is No. 15.

Here is a relaxed RbCdReW2 crystal from Alexandria. Energies are from GGA-PBE.

Unit cell a=5.066 b=5.055 c=5.066 alpha=90.00 beta=90.00 gamma=90.00
Sites, in units of the cell vectors:
Rb 0.500 0.500 0.500
Cd 0.000 0.000 0.000
W 0.000 0.000 0.500
W 0.500 0.000 0.000
Re 0.000 0.500 0.000

Computed properties:
For the calculated volume, the calculation gives 26.0 A^3/atom. Its total energy is -4.799 eV per atom. The symmetry is No. 123.

Here is a relaxed BaRhPb4 crystal from Alexandria. Energies are from GGA-PBE.

Unit cell a=4.847 b=7.707 c=9.672 alpha=90.00 beta=104.51 gamma=90.00
Sites, in units of the cell vectors:
Ba 0.880 0.750 0.760
Pb 0.690 0.541 0.379
Rh 0.216 0.750 0.432
Pb 0.500 0.000 0.000
Pb 0.929 0.250 0.858
Pb 0.500 0.500 0.000
Ba 0.120 0.250 0.240
Pb 0.310 0.459 0.621
Rh 0.784 0.250 0.568
Pb 0.310 0.041 0.621
Pb 0.690 0.959 0.379
Pb 0.071 0.750 0.142

Computed properties:
For the calculated volume, the calculation gives 29.1 A^3/atom. The value obtained for the distance to the lowest polymorph of the same formula is 0.000 eV/atom. The symmetry is No. 63.

Here is a relaxed Pu2ThMn crystal from Alexandria. Energies are from GGA-PBE.

Unit cell a=3.508 b=3.508 c=7.510 alpha=90.00 beta=90.00 gamma=90.00
Each line ends with the local moment (μB).
Sites, in units of the cell vectors:
Th 0.500 0.500 0.500  0.06
Pu 0.000 0.000 0.202  5.17
Mn 0.500 0.500 0.000  -2.71
Pu 0.000 0.000 0.798  5.17

Computed properties:
For the calculated volume, the calculation gives 23.1 A^3/atom. The value obtained for the distance to the lowest polymorph of the same formula is 0.000 eV/atom. The symmetry is No. 123.

Here is a relaxed RbSb2Pb2 crystal from Alexandria. Energies are from GGA-PBE.

Unit cell a=9.255 b=9.255 c=4.100 alpha=90.00 beta=90.00 gamma=90.00
Sites, in units of the cell vectors:
Sb 0.628 0.128 0.000
Pb 0.854 0.354 0.500
Sb 0.128 0.372 0.000
Pb 0.146 0.646 0.500
Pb 0.354 0.146 0.500
Sb 0.872 0.628 0.000
Rb 0.500 0.500 0.000
Pb 0.646 0.854 0.500
Sb 0.372 0.872 0.000
Rb 0.000 0.000 0.000

Computed properties:
For the calculated volume, the calculation gives 35.1 A^3/atom. The value obtained for the distance to the lowest polymorph of the same formula is 0.092 eV/atom. The symmetry is No. 127.